# 1
! GGA-PBE ZrTi2Cd, optimized geometry; values from VASP
&SYSTEM
  ibrav = 0, nat = 4, ntyp = 3
/
ATOMIC_SPECIES
Ti 47.87 Ti.upf
Zr 91.22 Zr.upf
Cd 112.41 Cd.upf
CELL_PARAMETERS angstrom
-0.0345 1.0438 -2.8826
-0.8863 -1.8412 -2.2858
-9.5824 2.7187 -0.5331
ATOMIC_POSITIONS crystal
Ti 0.2514 0.2514 0.2455
Ti 0.0820 0.0820 0.7547
Zr 0.6666 0.6666 0.9999
Cd 0.5000 0.5000 0.4999
! DFT formation energy (eV per atom): 0.10
! M_tot (μB/cell): 0.00
! E_tot (eV/atom): -6.2122
! Space-group type: R3m (160)


# 2
! GGA-PBE GeH2I6, optimized geometry; values from VASP
&SYSTEM
  ibrav = 0, nat = 18, ntyp = 3
/
ATOMIC_SPECIES
I 126.90 I.upf
H 1.01 H.upf
Ge 72.64 Ge.upf
CELL_PARAMETERS angstrom
5.7503 -0.2558 2.9336
4.0409 11.5664 -1.3253
-3.2226 -1.9516 11.7335
ATOMIC_POSITIONS crystal
I 0.4316 0.7158 0.5775
I 0.9316 0.5775 0.7158
I 0.8804 0.2266 0.0031
I 0.5649 0.6338 0.1485
I 0.1196 0.7734 0.9969
I 0.4351 0.3662 0.8515
I 0.6196 0.9969 0.7734
I 0.0649 0.1485 0.6338
I 0.0684 0.4225 0.2842
I 0.5684 0.2842 0.4225
I 0.9351 0.8515 0.3662
I 0.3804 0.0031 0.2266
H 0.2355 0.6636 0.6331
H 0.2645 0.3669 0.3364
H 0.7645 0.3364 0.3669
H 0.7355 0.6331 0.6636
Ge 0.2500 0.8161 0.1839
Ge 0.7500 0.1839 0.8161
! M_tot (μB/cell): 0.00
! E_tot (eV/atom): -2.4251
! Space-group type: C2/c (15)


# 3
! GGA-PBE V2PdW, optimized geometry; values from VASP
&SYSTEM
  ibrav = 0, nat = 4, ntyp = 3
/
ATOMIC_SPECIES
Pd 106.42 Pd.upf
V 50.94 V.upf
W 183.84 W.upf
CELL_PARAMETERS angstrom
-0.8398 -2.4912 -1.2607
1.9917 -1.8098 -1.1220
0.9581 -5.2935 6.4504
ATOMIC_POSITIONS crystal
Pd 0.5000 0.5000 0.5000
V 0.2529 0.2529 0.2414
V 0.7471 0.7471 0.7586
W 0.0000 0.0000 0.0000
! DFT formation energy (eV per atom): 0.15
! M_tot (μB/cell): 0.00
! E_tot (eV/atom): -8.9490
! Space-group type: R-3m (166)


# 4
! GGA-PBE CsCuPtS2, optimized geometry; values from VASP
&SYSTEM
  ibrav = 0, nat = 10, ntyp = 4
/
ATOMIC_SPECIES
Cu 63.55 Cu.upf
S 32.06 S.upf
Cs 132.91 Cs.upf
Pt 195.08 Pt.upf
CELL_PARAMETERS angstrom
4.1160 0.0000 0.0000
0.0000 7.2472 1.0954
0.0000 -1.1212 7.4157
ATOMIC_POSITIONS crystal
Cu 0.0000 0.0000 0.0000
Cu 0.0000 0.0000 0.5000
S 0.5035 0.2046 0.5000
S 0.4965 0.2046 0.0000
S 0.4965 0.7954 0.5000
S 0.5035 0.7954 0.0000
Cs 0.0001 0.5000 0.2500
Cs 0.9999 0.5000 0.7500
Pt 0.5000 0.0000 0.2500
Pt 0.5000 0.0000 0.7500
! Uncorrected formation energy (meV/atom): -546.6
! M_tot (μB/cell): 0.00
! E_tot (eV/atom): -4.3957
! Space-group type: Pccm (49)


# 5
! GGA-PBE Rb2CN, optimized geometry; values from VASP
&SYSTEM
  ibrav = 0, nat = 4, ntyp = 3
/
ATOMIC_SPECIES
N 14.01 N.upf
Rb 85.47 Rb.upf
C 12.01 C.upf
CELL_PARAMETERS angstrom
0.0000 3.7144 3.7144
3.7144 0.0000 3.7144
3.7144 3.7144 0.0000
ATOMIC_POSITIONS crystal
N 0.5000 0.5000 0.5000
Rb 0.2500 0.2500 0.2500
Rb 0.7500 0.7500 0.7500
C 0.0000 0.0000 0.0000
! Uncorrected formation energy (meV/atom): 1901.4
! M_tot (μB/cell): 1.00
! E_tot (eV/atom): -2.9696
! Space-group type: Fm-3m (225)


# 6
! GGA-PBE PmTlCdHg, optimized geometry; values from VASP
&SYSTEM
  ibrav = 0, nat = 4, ntyp = 4
/
ATOMIC_SPECIES
Pm 145.00 Pm.upf
Tl 204.38 Tl.upf
Hg 200.59 Hg.upf
Cd 112.41 Cd.upf
CELL_PARAMETERS angstrom
-1.4775 -1.3534 -4.8591
1.1045 -4.7970 -1.8424
-3.8581 -3.5012 -0.6943
ATOMIC_POSITIONS crystal
Pm 0.2500 0.2500 0.2500
Tl 0.5000 0.5000 0.5000
Hg 0.0000 0.0000 0.0000
Cd 0.7500 0.7500 0.7500
! DFT formation energy (eV per atom): -0.31
! M_tot (μB/cell): 0.00
! E_tot (eV/atom): -2.3922
! Space-group type: F-43m (216)


| no. | mass density (g/cm3) |
| --- | --- |
| 1 | 6.22 |
| 2 | 3.22 |
| 3 | 10.75 |
| 4 | 6.69 |
| 5 | 3.19 |
| 6 | 10.71 |